RhSe2BrN | Alexandria via LeMat-Bulk | GGA-PBE | relaxed; size of the total moment = 0.0 μB/f.u.; E above lowest polymorph = 5.49 eV per formula unit; V = 96.4 Å³ per cell; formation energy without anion corrections = 831 kJ/mol of formula units; space-group type = P4/mmm (123)
1.0
-1.2755 4.9252 -1.0134
-4.2653 -0.5061 2.9091
1.8388 1.0692 2.8820
Rh Se Br N
1 2 1 1
Direct
0.5000 0.5000 0.5000
0.0000 0.5000 0.0000
0.5000 0.0000 0.0000
0.0000 0.0000 0.0000
0.0000 0.0000 0.5000